Nd2Sm3Sn4 after structural relaxation, computed with PBE-GGA.

The structure in extended XYZ format:
```
18
Lattice="8.4755 0.0000 0.0000 0.0000 8.4792 0.0000 -2.8432 0.0000 7.6301" Properties=species:S:1:pos:R:3 pbc="T T T"
Nd 1.4575 1.5272 0.4930
Nd 0.0359 2.7124 4.3080
Nd 5.5964 5.7668 3.3221
Nd 4.1748 6.9520 7.1371
Sm 1.4004 5.6774 1.8271
Sm -0.0212 7.0414 5.6421
Sm 2.8162 0.0000 3.8150
Sm 4.2378 4.2396 0.0000
Sm 5.6535 1.4378 1.9880
Sm 4.2319 2.8018 5.8030
Sn -1.6899 4.5505 6.3949
Sn -0.2683 8.1683 2.5799
Sn 1.6564 1.1362 6.6053
Sn 3.0780 3.1034 2.7903
Sn 2.5544 5.3758 4.8398
Sn 3.9760 7.3430 1.0248
Sn 5.9006 0.3109 5.0502
Sn 7.3222 3.9287 1.2352
```

Computed properties:
V (Å³/atom): 30.46
Energy of formation from the pure elements (kJ/mol of formula units): -673
Symmetry: No. 14
Distance to the lowest polymorph of the same formula (meV/atom): 0
Calculated total energy (eV for the cell shown): -93.358


Re3RhW after structural relaxation, computed with PBE-GGA.

The structure in extended XYZ format:
```
5
Lattice="4.6718 0.0000 0.0000 0.0000 4.6718 0.0000 0.0000 0.0000 4.6718" Properties=species:S:1:pos:R:3 pbc="T T T"
Re 0.0000 0.0000 2.3359
Re 0.0000 2.3359 0.0000
Re 2.3359 0.0000 0.0000
Rh 2.3359 2.3359 2.3359
W 0.0000 0.0000 0.0000
```

Computed properties:
V (Å³/atom): 20.39
Energy of formation from the pure elements (kJ/mol of formula units): 1140
Symmetry: No. 221
Distance to the lowest polymorph of the same formula (meV/atom): 0
Calculated total energy (eV for the cell shown): -45.835


Dy5Mg12Sc3 after structural relaxation, computed with PBE-GGA.

The structure in extended XYZ format:
```
80
Lattice="-8.8566 8.8566 8.8566 8.8566 -8.8566 8.8566 8.8566 8.8566 -8.8566" Properties=species:S:1:pos:R:3 pbc="T T T"
Dy 0.0000 0.0000 0.0000
Dy 4.4283 4.4283 -4.4283
Dy 4.4283 -4.4283 4.4283
Dy 8.8566 0.0000 0.0000
Dy 13.2849 2.2141 0.0000
Dy 8.8566 -4.4283 6.6424
Dy 6.6424 8.8566 -4.4283
Dy 6.6424 0.0000 4.4283
Dy 4.4283 6.6424 0.0000
Dy 8.8566 4.4283 2.2141
Dy -4.4283 4.4283 4.4283
Dy 0.0000 8.8566 0.0000
Dy 0.0000 0.0000 8.8566
Dy 4.4283 4.4283 4.4283
Dy 0.0000 4.4283 6.6424
Dy 4.4283 2.2141 8.8566
Dy 2.2141 8.8566 4.4283
Dy 2.2141 0.0000 13.2849
Dy 0.0000 13.2849 2.2141
Dy -4.4283 6.6424 8.8566
Mg 8.8810 -1.4313 2.6844
Mg 13.2604 -1.7438 2.9970
Mg 11.5410 -0.0244 1.4313
Mg 10.6004 -2.9970 4.4038
Mg 2.6844 0.0244 1.4313
Mg 10.6004 5.8595 -4.4038
Mg 5.8595 4.4038 -1.7438
Mg 7.4253 2.6844 -0.0244
Mg 1.4313 2.6844 0.0244
Mg 11.8536 4.4527 -1.7438
Mg 0.0244 1.4313 2.6844
Mg 4.4038 -1.7438 5.8595
Mg 8.8810 7.4253 -2.6844
Mg 4.4038 1.7438 2.9970
Mg 2.9970 4.4038 1.7438
Mg 10.2878 6.1721 -0.0244
Mg 7.4253 -2.6844 8.8810
Mg 5.8595 -4.4038 10.6004
Mg 1.7438 2.9970 4.4038
Mg 2.6844 -0.0244 7.4253
Mg 2.6844 8.8810 -1.4313
Mg 10.6004 2.9970 4.4527
Mg 4.4038 10.6004 -2.9970
Mg 8.8810 1.4313 6.1721
Mg -0.0244 7.4253 2.6844
Mg 4.4527 -1.7438 11.8536
Mg -1.7438 5.8595 4.4038
Mg 6.1721 -0.0244 10.2878
Mg 6.1721 8.8810 1.4313
Mg 7.1127 5.8595 4.4527
Mg 2.9970 13.2604 -1.7438
Mg 1.4313 11.5410 -0.0244
Mg -1.4313 2.6844 8.8810
Mg 5.8595 4.4527 7.1127
Mg 4.4527 7.1127 5.8595
Mg -0.0244 1.4313 11.5410
Mg 4.4527 10.6004 2.9970
Mg 8.8321 7.4253 6.1721
Mg -2.9970 4.4038 10.6004
Mg 7.4253 6.1721 8.8321
Mg 1.4313 6.1721 8.8810
Mg 2.9970 4.4527 10.6004
Mg -1.7438 2.9970 13.2604
Mg 6.1721 8.8321 7.4253
Mg -1.7438 11.8536 4.4527
Mg -2.6844 8.8810 7.4253
Mg -4.4038 10.6004 5.8595
Mg -0.0244 10.2878 6.1721
Sc 4.4283 2.2141 0.0000
Sc 8.8566 4.4283 -2.2141
Sc 2.2141 0.0000 4.4283
Sc 11.0707 0.0000 4.4283
Sc 0.0000 4.4283 2.2141
Sc 4.4283 -2.2141 8.8566
Sc 4.4283 11.0707 0.0000
Sc 8.8566 4.4283 6.6424
Sc -2.2141 8.8566 4.4283
Sc 6.6424 8.8566 4.4283
Sc 0.0000 4.4283 11.0707
Sc 4.4283 6.6424 8.8566
```

Computed properties:
V (Å³/atom): 34.74
Energy of formation from the pure elements (kJ/mol of formula units): 1455
Symmetry: No. 230
Calculated total energy (eV for the cell shown): -184.243


Pr2YNi after structural relaxation, computed with PBE-GGA.

The structure in extended XYZ format:
```
4
Lattice="1.8506 1.0684 10.5641 -1.8506 1.0684 10.5641 0.0000 -2.1369 10.5641" Properties=species:S:1:pos:R:3 pbc="T T T"
Pr 0.0000 0.0000 3.4927
Pr 0.0000 0.0000 28.1995
Y 0.0000 0.0000 0.0000
Ni 0.0000 0.0000 15.8461
```

Computed properties:
V (Å³/atom): 31.33
Energy of formation from the pure elements (kJ/mol of formula units): 55
Symmetry: No. 166
Distance to the lowest polymorph of the same formula (meV/atom): 320
Calculated total energy (eV for the cell shown): -21.236


TlCrAg2S after structural relaxation, computed with PBE-GGA.

The structure in extended XYZ format:
```
5
Lattice="4.9803 0.0000 0.0000 0.0000 4.9803 0.0000 0.0000 0.0000 4.5085" Properties=species:S:1:pos:R:3 pbc="T T T"
Tl 0.0000 0.0000 0.0000
Cr 2.4902 2.4902 0.0000
Ag 0.0000 2.4902 2.2543
Ag 2.4902 0.0000 2.2543
S 2.4902 2.4902 2.2543
```

Computed properties:
V (Å³/atom): 22.37
Symmetry: No. 123
Calculated total energy (eV for the cell shown): -20.503


Pr4SbSe2 after structural relaxation, computed with PBE-GGA.

The structure in extended XYZ format:
```
14
Lattice="2.1487 -6.9983 0.0000 2.1487 6.9983 0.0000 0.0000 0.0000 14.2899" Properties=species:S:1:pos:R:3 pbc="T T T"
Pr 0.0000 0.0000 0.0000
Pr 0.0000 0.0000 7.1449
Pr 2.1487 3.1807 8.8846
Pr 2.1487 3.1807 12.5502
Pr 2.1487 0.8380 3.5725
Pr 2.1487 -0.8380 10.7174
Pr 2.1487 -3.1807 1.7396
Pr 2.1487 -3.1807 5.4053
Sb 2.1487 5.5232 3.5725
Sb 2.1487 -5.5232 10.7174
Se 2.1487 1.9115 0.8739
Se 2.1487 1.9115 6.2710
Se 2.1487 -1.9115 8.0189
Se 2.1487 -1.9115 13.4159
```

Computed properties:
V (Å³/atom): 30.70
Symmetry: No. 63
Calculated total energy (eV for the cell shown): -79.780


SrHfZnPd2 after structural relaxation, computed with PBE-GGA.

The structure in extended XYZ format:
```
5
Lattice="5.0270 0.0000 0.0000 0.0000 5.0270 0.0000 0.0000 0.0000 5.1344" Properties=species:S:1:pos:R:3 pbc="T T T"
Sr 0.0000 0.0000 0.0000
Hf 2.5135 2.5135 2.5672
Zn 0.0000 0.0000 2.5672
Pd 0.0000 2.5135 0.0000
Pd 2.5135 0.0000 0.0000
```

Computed properties:
V (Å³/atom): 25.95
Energy of formation from the pure elements (kJ/mol of formula units): 543
Symmetry: No. 123
Calculated total energy (eV for the cell shown): -17.668


ReP2W2 after structural relaxation, computed with PBE-GGA.

The structure in extended XYZ format:
```
5
Lattice="-2.1386 2.1386 4.2674 2.1386 -2.1386 4.2674 2.1386 2.1386 -4.2674" Properties=species:S:1:pos:R:3 pbc="T T T"
Re 0.0000 0.0000 0.0000
P 0.0000 0.0000 3.2091
P 0.0000 0.0000 5.3258
W 2.1386 0.0000 2.1337
W 0.0000 2.1386 2.1337
```

Computed properties:
V (Å³/atom): 15.61
Energy of formation from the pure elements (kJ/mol of formula units): 178
Symmetry: No. 139
Calculated total energy (eV for the cell shown): -47.329


BaTe2PdN after structural relaxation, computed with PBE-GGA.

The structure in extended XYZ format:
```
5
Lattice="6.5478 0.0000 0.0000 0.0000 6.5478 0.0000 0.0000 0.0000 4.3242" Properties=species:S:1:pos:R:3 pbc="T T T"
Ba 0.0000 0.0000 0.0000
Te 0.0000 3.2739 0.0000
Te 3.2739 0.0000 0.0000
Pd 3.2739 3.2739 2.1621
N 0.0000 0.0000 2.1621
```

Computed properties:
V (Å³/atom): 37.08
Symmetry: No. 123
Distance to the lowest polymorph of the same formula (meV/atom): 1403
Calculated total energy (eV for the cell shown): -15.276


YTh2Al12Fe3 after structural relaxation, computed with PBE-GGA.

The structure in extended XYZ format:
```
18
Lattice="4.2398 2.4479 6.2356 -4.2398 2.4479 6.2356 0.0000 -4.8957 6.2356" Properties=species:S:1:pos:R:3 pbc="T T T"
Y 0.0000 0.0000 0.0000
Th 0.0000 0.0000 7.8165
Th 0.0000 0.0000 10.8904
Al -2.6746 -1.5442 9.6437
Al 0.0000 -1.7689 5.3091
Al -1.5319 0.8844 5.3091
Al 0.0000 -3.0883 9.0632
Al -2.6746 1.5442 9.0632
Al -1.5319 -0.8844 13.3978
Al 1.5319 0.8844 5.3091
Al 2.6746 -1.5442 9.6437
Al 0.0000 3.0883 9.6437
Al 1.5319 -0.8844 13.3978
Al 0.0000 1.7689 13.3978
Al 2.6746 1.5442 9.0632
Fe -4.2398 0.0000 9.3534
Fe -2.1199 1.2239 3.1178
Fe 2.1199 1.2239 3.1178
```

Computed properties:
V (Å³/atom): 21.57
Energy of formation from the pure elements (kJ/mol of formula units): 322
Symmetry: No. 166
Calculated total energy (eV for the cell shown): -88.268


TbCe2Ti after structural relaxation, computed with PBE-GGA.

The structure in extended XYZ format:
```
4
Lattice="1.5728 0.9080 11.7471 -1.5728 0.9080 11.7471 0.0000 -1.8161 11.7471" Properties=species:S:1:pos:R:3 pbc="T T T"
Tb 0.0000 0.0000 0.0000
Ce 0.0000 0.0000 14.9034
Ce 0.0000 0.0000 20.3378
Ti 0.0000 0.0000 17.6206
```

Computed properties:
V (Å³/atom): 25.16
Energy of formation from the pure elements (kJ/mol of formula units): 130
Symmetry: No. 166
Distance to the lowest polymorph of the same formula (meV/atom): 150
Calculated total energy (eV for the cell shown): -23.050


AgWBr after structural relaxation, computed with PBE-GGA.

The structure in extended XYZ format:
```
3
Lattice="0.0000 3.1132 3.1132 3.1132 0.0000 3.1132 3.1132 3.1132 0.0000" Properties=species:S:1:pos:R:3 pbc="T T T"
Ag 0.0000 0.0000 0.0000
W 3.1132 3.1132 3.1132
Br 1.5566 1.5566 1.5566
```

Computed properties:
V (Å³/atom): 20.12
Symmetry: No. 216
Distance to the lowest polymorph of the same formula (meV/atom): 1179
Calculated total energy (eV for the cell shown): -12.068